# TaPAu | the Alexandria database | PBE-GGA | relaxed
# E above lowest polymorph ... 21.53 kJ/mol of atoms
# Energy of formation ... 59 meV per atom
data_TaPAu
_cell_length_a 3.0077
_cell_length_b 3.0077
_cell_length_c 6.6184
_cell_angle_alpha 90.00
_cell_angle_beta 90.00
_cell_angle_gamma 120.00
_symmetry_space_group_name_H-M 'P 3 m 1'
_symmetry_Int_Tables_number 156
_symmetry_space_group_name_Hall 'P 3 -2"'
loop_
_atom_site_label
_atom_site_type_symbol
_atom_site_fract_x
_atom_site_fract_y
_atom_site_fract_z
Ta1 Ta 0.0000 0.0000 0.0000
P1 P 0.3333 0.6667 0.7094
Au1 Au 0.6667 0.3333 0.3473

***

# CaGa3Au3 | the Alexandria database | PBE-GGA | relaxed
# E above lowest polymorph ... 6.04 kJ/mol of atoms
# Energy of formation ... -387 meV per atom
data_CaGa3Au3
_cell_length_a 8.3506
_cell_length_b 8.3506
_cell_length_c 15.3507
_cell_angle_alpha 90.00
_cell_angle_beta 90.00
_cell_angle_gamma 120.00
_symmetry_space_group_name_H-M 'R -3'
_symmetry_Int_Tables_number 148
_symmetry_space_group_name_Hall '-R 3'
loop_
_atom_site_label
_atom_site_type_symbol
_atom_site_fract_x
_atom_site_fract_y
_atom_site_fract_z
Ca1 Ca 0.0000 0.0000 0.1769
Ga1 Ga 0.0059 0.6884 0.6166
Au1 Au 0.0071 0.3069 0.5548

***

Li2RuBr8: relaxed, PBE-GGA.

Cell and atoms, written as CIF:
```
data_Li2RuBr8
_cell_length_a 14.856
_cell_length_b 6.693
_cell_length_c 6.638
_cell_angle_alpha 90.00
_cell_angle_beta 98.40
_cell_angle_gamma 90.00
_symmetry_space_group_name_H-M 'C 1 2/m 1'
_symmetry_Int_Tables_number 12
_symmetry_space_group_name_Hall '-C 2y'
loop_
_atom_site_label
_atom_site_type_symbol
_atom_site_fract_x
_atom_site_fract_y
_atom_site_fract_z
Li1 Li 0.157 0.000 0.125
Ru1 Ru 0.000 0.000 0.500
Br1 Br 0.059 0.256 0.283
Br2 Br 0.151 0.000 0.728
Br3 Br 0.176 0.500 0.782
```

***

# Ho8Mg2Tl | the Alexandria database | PBE-GGA | relaxed
# Energy of formation ... 93 meV per atom
data_Ho8Mg2Tl
_cell_length_a 8.749
_cell_length_b 15.051
_cell_length_c 5.506
_cell_angle_alpha 90.00
_cell_angle_beta 114.98
_cell_angle_gamma 90.00
_symmetry_space_group_name_H-M 'C 1 2/m 1'
_symmetry_Int_Tables_number 12
_symmetry_space_group_name_Hall '-C 2y'
loop_
_atom_site_label
_atom_site_type_symbol
_atom_site_fract_x
_atom_site_fract_y
_atom_site_fract_z
Ho1 Ho 0.000 0.212 0.000
Ho2 Ho 0.101 0.500 0.802
Ho3 Ho 0.211 0.114 0.627
Mg1 Mg 0.000 0.305 0.500
Tl1 Tl 0.000 0.000 0.000

***

no.,density of states at the Fermi level (states/eV/f.u.),VASP energy (eV/atom)
1,2.6,-6.788
2,1.7,-3.374
3,4.5,-2.927
4,15.3,-3.742